1.
Material: Pu2TlCuO8
Method: DFT, PBE
State: optimized geometry Values from VASP.

Summary:
Formation energy without anion corrections   -1832 meV per atom
Magnetic moment   4.0 μB/cell
Fermi-level density of states   4.17 states/eV/f.u.

Structure (Quantum ESPRESSO input):
```
&SYSTEM
  ibrav = 0, nat = 12, ntyp = 4
/
ATOMIC_SPECIES
Cu 63.55 Cu.upf
O 16.00 O.upf
Pu 244.00 Pu.upf
Tl 204.38 Tl.upf
CELL_PARAMETERS angstrom
-4.548 -1.564 0.486
0.754 -3.368 -3.384
2.080 -4.508 4.950
ATOMIC_POSITIONS crystal
Cu 0.000 0.000 0.000
O 0.306 0.306 0.000
O 0.694 0.694 0.000
O 0.789 0.211 0.765
O 0.211 0.789 0.235
O 0.314 0.314 0.500
O 0.211 0.789 0.765
O 0.686 0.686 0.500
O 0.789 0.211 0.235
Pu 0.500 0.500 0.241
Pu 0.500 0.500 0.759
Tl 0.000 0.000 0.500
```

---

2.
Material: Tm2PuCuO8
Method: DFT, PBE
State: optimized geometry Values from VASP.

Summary:
Formation energy without anion corrections   -2430 meV per atom
Magnetic moment   1.0 μB/cell
Fermi-level density of states   3.34 states/eV/f.u.

Structure (Quantum ESPRESSO input):
```
&SYSTEM
  ibrav = 0, nat = 12, ntyp = 4
/
ATOMIC_SPECIES
Pu 244.00 Pu.upf
O 16.00 O.upf
Tm 168.93 Tm.upf
Cu 63.55 Cu.upf
CELL_PARAMETERS angstrom
-0.156 2.433 4.244
-4.737 -1.312 0.052
0.962 -6.219 2.807
ATOMIC_POSITIONS crystal
Pu 0.000 0.000 0.000
O 0.795 0.231 0.818
O 0.711 0.718 0.498
O 0.289 0.282 0.502
O 0.149 0.842 0.741
O 0.312 0.288 0.002
O 0.851 0.158 0.259
O 0.688 0.712 0.998
O 0.205 0.769 0.182
Tm 0.456 0.542 0.730
Tm 0.544 0.458 0.270
Cu 0.000 0.000 0.500
```

---

| no. | volume (Å³/atom) |
| --- | --- |
| 1 | 13.7 |
| 2 | 13.6 |